# 1
## SrCdAg2 (PBEsol)

Data for a relaxed structure of SrCdAg2.

For the magnetization, the calculation gives 0.00 μB/f.u. Its formation energy is -0.19 eV per atom.

Lattice parameters (Å, degrees): 8.1580 4.7052 5.8942 90.00 117.55 90.00
Closest atoms and distances in Å follow each position.
Positions (direct):
Sr (0.0000, 0.0000, 0.0000)  4 Cd 3.21-3.39, 4 Ag 3.22-3.39
Sr (0.5000, 0.5000, 0.0000)  4 Cd 3.21-3.39, 4 Ag 3.22-3.39
Cd (0.2952, 0.5000, 0.3860)  6 Ag 2.83-2.97
Cd (0.7952, 0.0000, 0.3860)  6 Ag 2.83-2.97
Ag (0.0132, 0.5000, 0.5395)  3 Ag 2.75, 3 Cd 2.83
Ag (0.2054, 0.0000, 0.6154)  3 Ag 2.75, 3 Cd 2.97
Ag (0.5132, 0.0000, 0.5395)  3 Ag 2.75, 3 Cd 2.83
Ag (0.7054, 0.5000, 0.6154)  3 Ag 2.75, 3 Cd 2.97


# 2
## GeH2Rh2 (PBEsol)

Data for a relaxed structure of GeH2Rh2.

For the magnetization, the calculation gives 0.00 μB/f.u. The total energy comes out at -5.779 eV/atom.

Lattice parameters (Å, degrees): 3.0087 3.0087 10.4280 90.00 90.00 90.00
Closest atoms and distances in Å follow each position.
Positions (direct):
Ge (0.0000, 0.0000, 0.0000)  8 Rh 2.57
Ge (0.5000, 0.5000, 0.5000)  8 Rh 2.57
H (0.0000, 0.5000, 0.2500)  4 Rh 1.90, 4 H 2.13
H (0.0000, 0.5000, 0.7500)  4 Rh 1.90, 4 H 2.13
H (0.5000, 0.0000, 0.2500)  4 Rh 1.90, 4 H 2.13
H (0.5000, 0.0000, 0.7500)  4 Rh 1.90, 4 H 2.13
Rh (0.0000, 0.0000, 0.3617)  4 H 1.90
Rh (0.0000, 0.0000, 0.6383)  4 H 1.90
Rh (0.5000, 0.5000, 0.1383)  4 H 1.90
Rh (0.5000, 0.5000, 0.8617)  4 H 1.90


# 3
## K2TiBeW (PBEsol)

Data for a relaxed structure of K2TiBeW.

For the magnetization, the calculation gives 7.51 μB/f.u. Its formation energy is 2.56 eV per atom.

Lattice parameters (Å, degrees): 6.1647 6.1647 4.5365 90.00 90.00 90.00
Closest atoms and distances in Å follow each position.
Positions (direct):
K (0.0000, 0.5000, 0.0000)  2 Ti 3.08
K (0.5000, 0.0000, 0.0000)  2 Ti 3.08
Ti (0.0000, 0.0000, 0.0000)  2 Be 2.27
Be (0.0000, 0.0000, 0.5000)  2 Ti 2.27
W (0.5000, 0.5000, 0.5000)  8 K 3.83


# 4
## CdFe2Au (PBEsol)

Data for a relaxed structure of CdFe2Au.

For the magnetization, the calculation gives 5.07 μB/f.u. Its formation energy is 0.23 eV per atom.

Lattice parameters (Å, degrees): 2.8346 2.8346 25.7868 90.00 90.00 120.00
Closest atoms and distances in Å follow each position.
Positions (direct):
Cd (0.0000, 0.0000, 0.0000)  3 Fe 2.80, 6 Cd 2.83, 3 Au 2.98
Cd (0.3333, 0.6667, 0.6667)  3 Fe 2.80, 6 Cd 2.83, 3 Au 2.98
Cd (0.6667, 0.3333, 0.3333)  3 Fe 2.80, 6 Cd 2.83, 3 Au 2.98
Fe (0.0000, 0.0000, 0.4863)  3 Fe 2.34
Fe (0.0000, 0.0000, 0.7547)  3 Fe 2.34
Fe (0.3333, 0.6667, 0.1530)  3 Fe 2.34
Fe (0.3333, 0.6667, 0.4214)  3 Fe 2.34
Fe (0.6667, 0.3333, 0.0880)  3 Fe 2.34
Fe (0.6667, 0.3333, 0.8196)  3 Fe 2.34
Au (0.0000, 0.0000, 0.2367)  3 Fe 2.71, 6 Au 2.83, 3 Cd 2.98
Au (0.3333, 0.6667, 0.9034)  3 Fe 2.71, 6 Au 2.83, 3 Cd 2.98
Au (0.6667, 0.3333, 0.5700)  3 Fe 2.71, 6 Au 2.83, 3 Cd 2.98


# 5
## TcRuSe2N (PBEsol)

Data for a relaxed structure of TcRuSe2N.

For the magnetization, the calculation gives 3.17 μB/f.u. The calculation puts the formation energy without anion corrections at 0.82 eV per atom.

Lattice parameters (Å, degrees): 4.9495 4.9495 3.5680 90.00 90.00 90.00
Closest atoms and distances in Å follow each position.
Positions (direct):
Tc (0.0000, 0.0000, 0.0000)  8 Se 3.05
Ru (0.5000, 0.5000, 0.5000)  2 N 1.78
Se (0.0000, 0.5000, 0.5000)  2 Ru 2.47
Se (0.5000, 0.0000, 0.5000)  2 Ru 2.47
N (0.5000, 0.5000, 0.0000)  2 Ru 1.78


# 6
## Y2CrRh (PBEsol)

Data for a relaxed structure of Y2CrRh.

For the magnetization, the calculation gives 4.30 μB/f.u. Its formation energy is 0.20 eV per atom. For the energy above the lowest structure with this stoichiometry, the calculation gives 322 meV per atom.

Lattice parameters (Å, degrees): 3.6431 3.6431 24.4130 90.00 90.00 120.00
Closest atoms and distances in Å follow each position.
Positions (direct):
Y (0.0000, 0.0000, 0.2373)  3 Rh 2.72
Y (0.0000, 0.0000, 0.7627)  3 Rh 2.72
Y (0.3333, 0.6667, 0.4294)  3 Rh 2.72
Y (0.3333, 0.6667, 0.9039)  3 Rh 2.72
Y (0.6667, 0.3333, 0.0961)  3 Rh 2.72
Y (0.6667, 0.3333, 0.5706)  3 Rh 2.72
Cr (0.0000, 0.0000, 0.0000)  6 Y 3.15
Cr (0.3333, 0.6667, 0.6667)  6 Y 3.15
Cr (0.6667, 0.3333, 0.3333)  6 Y 3.15
Rh (0.0000, 0.0000, 0.5000)  6 Y 2.72
Rh (0.3333, 0.6667, 0.1667)  6 Y 2.72
Rh (0.6667, 0.3333, 0.8333)  6 Y 2.72


# 7
## AlPPb (PBEsol)

Data for a relaxed structure of AlPPb.

For the magnetization, the calculation gives 0.00 μB/f.u. Its formation energy is -0.02 eV per atom. For the energy above the lowest structure with this stoichiometry, the calculation gives 57 meV per atom.

Lattice parameters (Å, degrees): 3.4579 11.2026 6.8045 90.00 90.00 90.00
Closest atoms and distances in Å follow each position.
Positions (direct):
Al (0.0000, 0.0000, 0.0000)  4 P 2.44
Al (0.0000, 0.0000, 0.5000)  4 P 2.44
Al (0.5000, 0.5000, 0.0000)  4 P 2.44
Al (0.5000, 0.5000, 0.5000)  4 P 2.44
P (0.0000, 0.4766, 0.2500)  4 Al 2.44
P (0.0000, 0.5234, 0.7500)  4 Al 2.44
P (0.5000, 0.0234, 0.7500)  4 Al 2.44
P (0.5000, 0.9766, 0.2500)  4 Al 2.44
Pb (0.0000, 0.2611, 0.7500)  3 P 2.94-3.17
Pb (0.0000, 0.7389, 0.2500)  3 P 2.94-3.17
Pb (0.5000, 0.2389, 0.2500)  3 P 2.94-3.17
Pb (0.5000, 0.7611, 0.7500)  3 P 2.94-3.17


# 8
## CaCrP2 (PBEsol)

Data for a relaxed structure of CaCrP2.

For the magnetization, the calculation gives 3.27 μB/f.u. Its formation energy is -0.11 eV per atom. For the energy above the lowest structure with this stoichiometry, the calculation gives 95 meV per atom.

Lattice parameters (Å, degrees): 3.7871 3.7871 9.3429 90.00 90.00 90.00
Closest atoms and distances in Å follow each position.
Positions (direct):
Ca (0.0000, 0.0000, 0.0000)  4 P 2.68
Ca (0.5000, 0.5000, 0.5000)  4 P 2.68
Cr (0.0000, 0.5000, 0.2500)  4 P 2.68
Cr (0.5000, 0.0000, 0.7500)  4 P 2.68
P (0.0000, 0.0000, 0.5000)  4 Ca 2.68
P (0.0000, 0.5000, 0.7500)  4 Cr 2.68
P (0.5000, 0.0000, 0.2500)  4 Cr 2.68
P (0.5000, 0.5000, 0.0000)  4 Ca 2.68